No. 1
The following is a DFT calculation (meta-GGA SCAN) of a crystal of CaAs2Cl relaxed with PBEsol.

a b c (Å): 3.7596 4.0766 6.2676
angles (deg): 98.62 107.45 90.00
Last column: nearest neighbours and their distance in Å.
Sites, in units of the cell vectors:
As  0.7408  0.8034  0.4816  2 As 2.46
As  0.2592  0.1966  0.5184  2 As 2.46
Ca  0.5000  0.0000  0.0000  4 Cl 2.77
Cl  0.0000  0.5000  0.0000  4 Ca 2.77

Formation energy (no corrections) ... -103.59 kJ/mol of atoms
V ... 90.5 Å³/cell
Distance to the lowest polymorph of the same formula ... 0.20 eV/f.u.
Final energy ... -15.579 eV per atom

No. 2
The following is a DFT calculation (meta-GGA SCAN) of a crystal of MnTe2IrN relaxed with PBEsol.

a b c (Å): 3.6355 5.4254 5.4254
angles (deg): 90.00 90.00 90.00
Last column: nearest neighbours and their distance in Å.
Sites, in units of the cell vectors:
Te  0.0000  0.0000  0.5000  2 Ir 2.71
Te  0.0000  0.5000  0.0000  2 Ir 2.71
N  0.5000  0.0000  0.0000  2 Ir 1.82
Mn  0.5000  0.5000  0.5000  8 Te 3.27, 2 Mn 3.64
Ir  0.0000  0.0000  0.0000  2 N 1.82

Formation energy (no corrections) ... 22.54 kJ/mol of atoms
V ... 107.0 Å³/cell
Final energy ... -34.396 eV per atom

No. 3
The following is a DFT calculation (meta-GGA SCAN) of a crystal of CaTe2Os relaxed with PBEsol.

a b c (Å): 4.1980 4.1980 6.6712
angles (deg): 71.66 71.66 60.00
Last column: nearest neighbours and their distance in Å.
Sites, in units of the cell vectors:
Te  0.7304  0.7304  0.8088  3 Os 2.70
Te  0.2696  0.2696  0.1912  3 Os 2.70
Ca  0.5000  0.5000  0.5000  6 Te 3.09
Os  0.0000  0.0000  0.0000  6 Te 2.70

Formation energy (no corrections) ... -48.93 kJ/mol of atoms
V ... 94.9 Å³/cell
Distance to the lowest polymorph of the same formula ... 0.00 eV/f.u.
Final energy ... -39.518 eV per atom

No. 4
The following is a DFT calculation (meta-GGA SCAN) of a crystal of TaReB2Ir relaxed with PBEsol.

a b c (Å): 3.9661 3.9661 4.8642
angles (deg): 90.00 90.00 90.00
Last column: nearest neighbours and their distance in Å.
Sites, in units of the cell vectors:
B  0.0000  0.5000  0.0000  2 Re 1.98
B  0.5000  0.0000  0.0000  2 Re 1.98
Ir  0.0000  0.0000  0.5000  2 Re 2.43
Re  0.0000  0.0000  0.0000  4 B 1.98
Ta  0.5000  0.5000  0.5000  4 Ir 2.80, 8 B 3.14

V ... 76.5 Å³/cell
E_form ... 1230 meV/atom
Final energy ... -43.498 eV per atom

No. 5
The following is a DFT calculation (meta-GGA SCAN) of a crystal of Y2CdCl relaxed with PBEsol.

a b c (Å): 3.3674 4.8026 6.7563
angles (deg): 110.82 104.43 90.00
Last column: nearest neighbours and their distance in Å.
Sites, in units of the cell vectors:
Y  0.7203  0.7203  0.4406  4 Cl 3.02, 2 Cd 3.30, 2 Y 3.37
Y  0.9654  0.4654  0.9308  2 Cl 2.81, 4 Cd 3.05
Cd  0.5338  0.0338  0.0675  6 Y 3.05-3.30, 2 Cd 3.37
Cl  0.2805  0.2805  0.5611  6 Y 2.81-3.02

Formation energy (no corrections) ... -72.53 kJ/mol of atoms
V ... 98.4 Å³/cell
Final energy ... -24.271 eV per atom

No. 6
The following is a DFT calculation (meta-GGA SCAN) of a crystal of NaHoGeO4 relaxed with PBEsol.

a b c (Å): 5.2594 6.3870 11.3672
angles (deg): 90.00 90.00 90.00
Last column: nearest neighbours and their distance in Å.
Sites, in units of the cell vectors:
O  0.7078  0.4592  0.6752  1 Ge 1.80
O  0.7922  0.0408  0.1752  1 Ge 1.80
O  0.3277  0.7500  0.5458  1 Ge 1.75
O  0.7759  0.7500  0.3884  1 Ge 1.73
O  0.8277  0.2500  0.9542  1 Ge 1.75
O  0.2922  0.5408  0.3248  1 Ge 1.80
O  0.2759  0.2500  0.1116  1 Ge 1.73
O  0.2078  0.9592  0.8248  1 Ge 1.80
O  0.2241  0.2500  0.6116  1 Ge 1.73
O  0.7922  0.4592  0.1752  1 Ge 1.80
O  0.2922  0.9592  0.3248  1 Ge 1.80
O  0.7241  0.7500  0.8884  1 Ge 1.73
O  0.6723  0.2500  0.4542  1 Ge 1.75
O  0.7078  0.0408  0.6752  1 Ge 1.80
O  0.2078  0.5408  0.8248  1 Ge 1.80
O  0.1723  0.7500  0.0458  1 Ge 1.75
Ge  0.9475  0.2500  0.0979  4 O 1.73-1.80
Ge  0.5525  0.2500  0.5979  4 O 1.73-1.80
Ge  0.4475  0.7500  0.4021  4 O 1.73-1.80
Ge  0.0525  0.7500  0.9021  4 O 1.73-1.80
Na  0.0000  0.5000  0.5000  6 O 2.36-2.53
Na  0.5000  0.5000  0.0000  6 O 2.36-2.53
Na  0.0000  0.0000  0.5000  6 O 2.36-2.53
Na  0.5000  0.0000  0.0000  6 O 2.36-2.53
Ho  0.9932  0.2500  0.7772  6 O 2.19-2.32
Ho  0.4932  0.7500  0.7228  6 O 2.19-2.32
Ho  0.0068  0.7500  0.2228  6 O 2.19-2.32
Ho  0.5068  0.2500  0.2772  6 O 2.19-2.32

Formation energy (no corrections) ... -261.17 kJ/mol of atoms
V ... 381.9 Å³/cell
Final energy ... -16.595 eV per atom